Record 1
The following is a DFT calculation (PBEsol) of an optimized crystal structure of CaMg2Re.

Cell: 2.839 5.649 5.774 Å, 116.95 100.03 98.43°
Element x y z (fractional)
Ca  0.500  0.000  0.000
Mg  0.500  0.500  0.500
Mg  0.000  0.000  0.500
Re  0.000  0.500  0.000

Summary:
The volume comes out at 79 Å³/f.u. The uncorrected energy is -16.6 eV per cell. The energy of formation comes out at 0.57 eV/atom. The crystal system is monoclinic. The calculation puts the excess energy over the best structure of this formula in the dataset at 13 meV/atom. The value obtained for the theoretical density is 5.8 g cm⁻³. The space-group type is C2/m, No. 12.



Record 2
The following is a DFT calculation (PBEsol) of an optimized crystal structure of RbSbRh3.

Cell: 4.904 4.904 4.904 Å, 90.00 90.00 90.00°
Each line ends with the local moment (μB).
Element x y z (fractional)
Sb  0.000  0.000  0.000  -0.01
Rh  0.000  0.500  0.000  0.15
Rh  0.000  0.000  0.500  0.15
Rh  0.500  0.000  0.000  0.15
Rb  0.500  0.500  0.500  0.00

Summary:
The uncorrected formation energy is 783 meV per atom. The volume comes out at 118 Å³/f.u. The uncorrected energy is -26.1 eV per cell. The crystal system is cubic. The value obtained for the theoretical density is 7.3 g cm⁻³. The space-group type is Pm-3m, No. 221.



Record 3
The following is a DFT calculation (PBEsol) of an optimized crystal structure of BaCd3.

Cell: 4.888 6.793 6.988 Å, 90.00 90.00 90.00°
Element x y z (fractional)
Ba  0.000  0.392  0.000
Ba  0.500  0.608  0.500
Cd  0.500  0.791  0.000
Cd  0.000  0.209  0.500
Cd  0.000  0.874  0.774
Cd  0.000  0.874  0.226
Cd  0.500  0.126  0.274
Cd  0.500  0.126  0.726

Summary:
The volume comes out at 116 Å³/f.u. The uncorrected energy is -13.5 eV per cell. The energy of formation comes out at -0.26 eV/atom. The crystal system is orthorhombic. The value obtained for the theoretical density is 6.8 g cm⁻³. The space-group type is Pmmn, No. 59.